# 1
The following is a DFT calculation (PBE) of a geometry-optimized Ac6Ge2TeBr3 structure.

Cell: 4.6402 9.1927 10.2291 Å, 100.27 103.11 90.00°
Element x y z (fractional)
Ac 0.3295 0.8895 0.6591
Ac 0.6732 0.5682 0.3465
Ac 0.6705 0.1105 0.3409
Ac 0.0114 0.2587 0.0227
Ac 0.9886 0.7413 0.9773
Ac 0.3268 0.4318 0.6535
Ge 0.8322 0.6658 0.6643
Ge 0.1678 0.3342 0.3357
Te 0.5000 0.0000 0.0000
Br 0.5000 0.5000 0.0000
Br 0.8372 0.1665 0.6745
Br 0.1628 0.8335 0.3255

## Properties
* raw formation energy: -1.202 eV/atom
* symmetry: No. 12

---

# 2
The following is a DFT calculation (PBE) of a geometry-optimized MoOsPtW structure.

Cell: 3.9258 3.9421 3.9491 Å, 90.00 90.00 90.00°
Element x y z (fractional)
Mo 0.5000 0.0000 0.5000
Os 0.5000 0.5000 0.0000
Pt 0.0000 0.0000 0.0000
W 0.0000 0.5000 0.5000

## Properties
* energy relative to the elements: -0.151 eV per atom
* symmetry: No. 47

---

# 3
The following is a DFT calculation (PBE) of a geometry-optimized SnOs structure.

Cell: 6.1283 6.1283 5.0892 Å, 90.00 90.00 90.00°
Element x y z (fractional)
Sn 0.7122 0.2878 0.0000
Sn 0.2122 0.2122 0.5000
Sn 0.7878 0.7878 0.5000
Sn 0.2878 0.7122 0.0000
Os 0.8659 0.8659 0.0000
Os 0.3659 0.6341 0.5000
Os 0.6341 0.3659 0.5000
Os 0.1341 0.1341 0.0000

## Properties
* energy relative to the elements: 0.944 eV per atom
* symmetry: No. 136

---

# 4
The following is a DFT calculation (PBE) of a geometry-optimized Rb2ZrBr5Cl structure.

Cell: 7.7014 7.7014 7.7014 Å, 90.67 119.62 119.62°
Element x y z (fractional)
Rb 0.5000 0.2483 0.7483
Rb 0.5000 0.7483 0.2483
Zr 0.0000 0.9969 0.9969
Br 0.4850 0.2415 0.2415
Br 0.5150 0.7565 0.7565
Br 0.0000 0.7565 0.2415
Br 0.0000 0.2415 0.7565
Br 0.0000 0.2421 0.2421
Cl 0.0000 0.7685 0.7685

## Properties
* raw formation energy: -1.664 eV/atom
* symmetry: No. 107

---

Respective V values: 34.8 15.3 23.9 36.1 Å³ per atom.